(1)
First-principles (PBE-GGA) data for a geometry-optimized Tb2TmIn3 structure, as listed in Alexandria via LeMat-Bulk.

The space group is Cmmm (No. 65) and the conventional cell measures 5.310, 15.937 and 7.503 Å, with angles of 90.00, 90.00 and 90.00 degrees. Symmetry generates all atoms from Tb at (0.000, 0.000, 0.000), Tb at (0.000, 0.000, 0.500), Tb at (0.000, 0.334, 0.000), Tm at (0.000, 0.333, 0.500), In at (0.000, 0.168, 0.254) and In at (0.000, 0.500, 0.254).

The density of states at the Fermi level is 11.4 states/eV per cell. As for the calculated formation energy: -460 meV per atom.

---

(2)
First-principles (PBE-GGA) data for a geometry-optimized TbTm5In2 structure, as listed in Alexandria via LeMat-Bulk.

The space group is Immm (No. 71) and the conventional cell measures 3.523, 10.362 and 12.620 Å, with angles of 90.00, 90.00 and 90.00 degrees. Symmetry generates all atoms from Tb at (0.000, 0.000, 0.000), Tm at (0.000, 0.228, 0.367), Tm at (0.000, 0.500, 0.000) and In at (0.000, 0.500, 0.259).

The density of states at the Fermi level is 20.9 states/eV per cell. As for the calculated formation energy: -171 meV per atom.

---

(3)
First-principles (PBE-GGA) data for a geometry-optimized Tb15Tm4In structure, as listed in Alexandria via LeMat-Bulk.

The space group is P4/mmm (No. 123) and the conventional cell measures 4.963, 4.963 and 25.108 Å, with angles of 90.00, 90.00 and 90.00 degrees. Symmetry generates all atoms from Tb at (0.000, 0.000, 0.000), Tb at (0.000, 0.000, 0.197), Tb at (0.000, 0.000, 0.399), Tb at (0.000, 0.500, 0.097), Tb at (0.000, 0.500, 0.299), Tb at (0.000, 0.500, 0.500), Tm at (0.500, 0.500, 0.198), Tm at (0.500, 0.500, 0.400) and In at (0.500, 0.500, 0.000).

The density of states at the Fermi level is 24.9 states/eV per cell. As for the calculated formation energy: -36 meV per atom.

---

(4)
First-principles (PBE-GGA) data for a geometry-optimized Tb4Tm3In2 structure, as listed in Alexandria via LeMat-Bulk.

The space group is P-1 (No. 2) and the conventional cell measures 5.272, 6.718 and 8.378 Å, with angles of 76.35, 89.95 and 66.91 degrees. Symmetry generates all atoms from Tb at (0.119, 0.263, 0.158), Tb at (0.331, 0.837, 0.534), Tm at (0.000, 0.500, 0.500), Tm at (0.423, 0.653, 0.151) and In at (0.210, 0.080, 0.817).

The density of states at the Fermi level is 9.3 states/eV per cell. As for the calculated formation energy: -190 meV per atom.

---

(5)
First-principles (PBE-GGA) data for a geometry-optimized Tb7TmIn3 structure, as listed in Alexandria via LeMat-Bulk.

The space group is C2/m (No. 12) and the conventional cell measures 11.405, 11.770 and 5.789 Å, with angles of 90.00, 119.92 and 90.00 degrees. Symmetry generates all atoms from Tb at (0.000, 0.000, 0.000), Tb at (0.171, 0.500, 0.168), Tb at (0.179, 0.287, 0.681), Tm at (0.000, 0.000, 0.500), In at (0.000, 0.264, 0.000) and In at (0.000, 0.500, 0.500).

The density of states at the Fermi level is 27.6 states/eV per cell. As for the calculated formation energy: -33 meV per atom.

---

(6)
First-principles (PBE-GGA) data for a geometry-optimized Tb2TmIn structure, as listed in Alexandria via LeMat-Bulk.

The space group is R3m (No. 160, hexagonal axes) and the conventional cell measures 3.5788, 3.5788 and 32.5552 Å, with angles of 90.00, 90.00 and 120.00 degrees. Symmetry generates all atoms from Tb at (0.0000, 0.0000, 0.0000), Tb at (0.0000, 0.0000, 0.1746), Tm at (0.0000, 0.0000, 0.7540) and In at (0.0000, 0.0000, 0.5875).

The density of states at the Fermi level is 14.5 states/eV per cell. As for the calculated formation energy: -142 meV per atom.

---

(7)
First-principles (PBE-GGA) data for a geometry-optimized Tb3Tm5In2 structure, as listed in Alexandria via LeMat-Bulk.

The space group is Ibam (No. 72) and the conventional cell measures 12.614, 15.522 and 6.296 Å, with angles of 90.00, 90.00 and 90.00 degrees. Symmetry generates all atoms from Tb at (0.000, 0.000, 0.250), Tb at (0.114, 0.231, 0.000), Tm at (0.000, 0.500, 0.250), Tm at (0.123, 0.337, 0.500), Tm at (0.248, 0.500, 0.250) and In at (0.137, 0.147, 0.500).

The density of states at the Fermi level is 51.1 states/eV per cell. As for the calculated formation energy: 90 meV per atom.

---

(8)
First-principles (PBE-GGA) data for a geometry-optimized Tb2Tm4In structure, as listed in Alexandria via LeMat-Bulk.

The space group is P2_1/c (No. 14) and the conventional cell measures 6.211, 10.563 and 6.406 Å, with angles of 90.00, 90.03 and 90.00 degrees. Symmetry generates all atoms from Tb at (0.246, 0.038, 0.499), Tm at (0.067, 0.156, 0.999), Tm at (0.411, 0.750, 0.250) and In at (0.500, 0.000, 0.000).

The density of states at the Fermi level is 18.4 states/eV per cell. As for the calculated formation energy: -34 meV per atom.

---

(9)
First-principles (PBE-GGA) data for a geometry-optimized Tb3Tm3In structure, as listed in Alexandria via LeMat-Bulk.

The space group is Pnma (No. 62) and the conventional cell measures 13.220, 5.160 and 12.607 Å, with angles of 90.00, 90.00 and 90.00 degrees. Symmetry generates all atoms from Tb at (0.088, 0.250, 0.189), Tb at (0.174, 0.750, 0.763), Tb at (0.189, 0.750, 0.370), Tm at (0.023, 0.250, 0.433), Tm at (0.052, 0.250, 0.928), Tm at (0.223, 0.750, 0.056) and In at (0.052, 0.250, 0.682).

The density of states at the Fermi level is 44.7 states/eV per cell. As for the calculated formation energy: -6 meV per atom.

---

(10)
First-principles (PBE-GGA) data for a geometry-optimized TbTm15In4 structure, as listed in Alexandria via LeMat-Bulk.

The space group is P4/mmm (No. 123) and the conventional cell measures 4.797, 4.797 and 24.342 Å, with angles of 90.00, 90.00 and 90.00 degrees. Symmetry generates all atoms from Tb at (0.000, 0.000, 0.000), Tm at (0.000, 0.500, 0.105), Tm at (0.000, 0.500, 0.303), Tm at (0.000, 0.500, 0.500), Tm at (0.500, 0.500, 0.000), Tm at (0.500, 0.500, 0.205), Tm at (0.500, 0.500, 0.402), In at (0.000, 0.000, 0.206) and In at (0.000, 0.000, 0.402).

The density of states at the Fermi level is 24.6 states/eV per cell. As for the calculated formation energy: -196 meV per atom.

---

(11)
First-principles (PBE-GGA) data for a geometry-optimized Tb4Tm2In structure, as listed in Alexandria via LeMat-Bulk.

The space group is P2_1/m (No. 11) and the conventional cell measures 5.600, 6.740 and 11.624 Å, with angles of 90.00, 103.17 and 90.00 degrees. Symmetry generates all atoms from Tb at (0.106, 0.250, 0.135), Tb at (0.232, 0.750, 0.421), Tb at (0.339, 0.509, 0.709), Tm at (0.202, 0.250, 0.431), Tm at (0.461, 0.750, 0.021) and In at (0.029, 0.750, 0.149).

The density of states at the Fermi level is 21.8 states/eV per cell. As for the calculated formation energy: -26 meV per atom.

---

(12)
First-principles (PBE-GGA) data for a geometry-optimized Tb8Tm3In2 structure, as listed in Alexandria via LeMat-Bulk.

The space group is P-1 (No. 2) and the conventional cell measures 6.265, 7.127 and 9.510 Å, with angles of 90.47, 90.47 and 108.52 degrees. Symmetry generates all atoms from Tb at (0.038, 0.375, 0.354), Tb at (0.051, 0.869, 0.318), Tb at (0.389, 0.966, 0.823), Tb at (0.439, 0.475, 0.806), Tm at (0.000, 0.500, 0.000), Tm at (0.489, 0.243, 0.503) and In at (0.183, 0.161, 0.062).

The density of states at the Fermi level is 20.2 states/eV per cell. As for the calculated formation energy: -52 meV per atom.